VASP calculation (GGA-PBE) on an optimized crystal structure of AcPm2Pb4.

Calculated values
The value obtained for the energy of formation from the pure elements is -199 meV per atom. Its size of the total moment is 0.00 μB per cell. As for the calculated density: 9.0 g cm⁻³. As for the total energy: -29.84 eV/f.u. Its space-group type is I4/mmm, No. 139.

a = 7.664 Å, b = 7.664 Å, c = 7.664 Å
α = 131.42°, β = 131.42°, γ = 71.15°
Positions (direct):
Ac1 0.000 0.000 0.000
Pm1 0.349 0.349 0.000
Pm2 0.651 0.651 0.000
Pb1 0.000 0.500 0.500
Pb2 0.250 0.750 0.500
Pb3 0.500 0.000 0.500
Pb4 0.750 0.250 0.500

VASP calculation (GGA-PBE) on an optimized crystal structure of Rb2AuBr6F.

Calculated values
The uncorrected formation energy is -859 meV/atom. Its size of the total moment is 0.00 μB per cell. As for the calculated density: 4.8 g cm⁻³. As for the total energy: -25.71 eV/f.u. Its space-group type is I4/mmm, No. 139.

a = 7.518 Å, b = 7.518 Å, c = 7.518 Å
α = 119.92°, β = 119.92°, γ = 90.14°
Positions (direct):
Rb1 0.250 0.750 0.500
Rb2 0.750 0.250 0.500
Au1 0.000 0.000 0.000
Br1 0.241 0.241 0.482
Br2 0.241 0.759 0.000
Br3 0.242 0.242 0.000
Br4 0.758 0.758 0.000
Br5 0.759 0.241 0.000
Br6 0.759 0.759 0.518
F1 0.500 0.500 0.000

VASP calculation (GGA-PBE) on an optimized crystal structure of ScCd3Ag3.

Calculated values
The value obtained for the energy of formation from the pure elements is -62 meV per atom. Its size of the total moment is 0.00 μB per cell. As for the calculated density: 8.0 g cm⁻³. As for the total energy: -18.06 eV/f.u. Its space-group type is Cmmm, No. 65.

a = 6.923 Å, b = 6.923 Å, c = 6.112 Å
α = 90.00°, β = 90.00°, γ = 91.94°
Positions (direct):
Sc1 0.205 0.205 0.000
Sc2 0.795 0.795 0.000
Cd1 0.166 0.834 0.500
Cd2 0.246 0.754 0.000
Cd3 0.260 0.260 0.500
Cd4 0.740 0.740 0.500
Cd5 0.754 0.246 0.000
Cd6 0.834 0.166 0.500
Ag1 0.000 0.500 0.255
Ag2 0.000 0.500 0.745
Ag3 0.500 0.000 0.255
Ag4 0.500 0.000 0.745
Ag5 0.500 0.500 0.236
Ag6 0.500 0.500 0.764

VASP calculation (GGA-PBE) on an optimized crystal structure of LuPaOsRh.

Calculated values
The value obtained for the energy of formation from the pure elements is -544 meV per atom. Its size of the total moment is 0.00 μB per cell. As for the calculated density: 14.6 g cm⁻³. As for the total energy: -34.77 eV/f.u. Its space-group type is F-43m, No. 216.

a = 4.826 Å, b = 4.826 Å, c = 4.826 Å
α = 60.00°, β = 60.00°, γ = 60.00°
Positions (direct):
Lu1 0.000 0.000 0.000
Pa1 0.500 0.500 0.500
Os1 0.250 0.250 0.250
Rh1 0.750 0.750 0.750

For the records above, the corresponding volume values read 35.41, 30.08, 20.91, 19.87 A^3/atom.